Entry 1:
Here is an optimized crystal structure of NaCaO2 from Alexandria via LeMat-Bulk. Energies are from PBE.

Calculated values
volume	73	Å³/f.u.
total moment	1.000	μB per formula unit
energy	-0.1819	hartree per atom

Cell lengths 5.018, 5.018, 11.661 Å; angles 90.00, 90.00, 90.00 degrees
Space group I-42d (No. 122)
Unique sites:
Na1 0.000 0.000 0.000
Ca1 0.000 0.000 0.500
O1 0.231 0.250 0.625



Entry 2:
Here is an optimized crystal structure of NaCaO2 from Alexandria via LeMat-Bulk. Energies are from PBE.

Calculated values
volume	49	Å³/f.u.
total moment	1.000	μB per formula unit
energy	-0.1836	hartree per atom

Cell lengths 5.807, 5.807, 5.807 Å; angles 90.00, 90.00, 90.00 degrees
Space group Fm-3m (No. 225)
Unique sites:
Na1 0.000 0.000 0.000
Ca1 0.000 0.000 0.500
O1 0.250 0.250 0.250



Entry 3:
Here is an optimized crystal structure of NaCaO from Alexandria via LeMat-Bulk. Energies are from PBE.

Calculated values
volume	68	Å³/f.u.
energy above the most stable polymorph in this dataset	0.0	meV/atom
total moment	0.000	μB per formula unit

Cell lengths 12.818, 3.257, 3.275 Å; angles 90.00, 90.26, 90.00 degrees
Space group Cm (No. 8)
Unique sites:
Na1 0.000 0.000 0.000
Ca1 0.285 0.000 0.497
O1 0.315 0.500 0.998



Entry 4:
Here is an optimized crystal structure of NaCaO2 from Alexandria via LeMat-Bulk. Energies are from PBE.

Calculated values
volume	58	Å³/f.u.
total moment	1.004	μB per formula unit
energy	-0.1874	hartree per atom

Cell lengths 3.4422, 3.4422, 17.0057 Å; angles 90.00, 90.00, 120.00 degrees
Space group R3m (No. 160, hexagonal axes)
Unique sites:
Na1 0.0000 0.0000 0.0000
Ca1 0.0000 0.0000 0.8262
O1 0.0000 0.0000 0.2360
O2 0.0000 0.0000 0.4192



Entry 5:
Here is an optimized crystal structure of Na2CaOsO6 from Alexandria via LeMat-Bulk. Energies are from PBE.

Calculated values
volume	132	Å³/f.u.
total moment	0.000	μB per formula unit
energy	-0.2282	hartree per atom

Cell lengths 5.623, 5.806, 9.812 Å; angles 90.00, 124.69, 90.00 degrees
Space group P2_1/c (No. 14)
Unique sites:
Na1 0.241 0.046 0.253
Ca1 0.500 0.000 0.000
Os1 0.000 0.000 0.500
O1 0.110 0.233 0.941
O2 0.226 0.677 0.955
O3 0.318 0.037 0.721



Entry 6:
Here is an optimized crystal structure of NaCa2OsO6 from Alexandria via LeMat-Bulk. Energies are from PBE.

Calculated values
volume	129	Å³/f.u.
total moment	1.036	μB per formula unit
energy	-0.2428	hartree per atom

Cell lengths 5.518, 5.864, 9.613 Å; angles 90.00, 123.92, 90.00 degrees
Space group P2_1/c (No. 14)
Unique sites:
Na1 0.000 0.000 0.000
Ca1 0.220 0.068 0.741
Os1 0.500 0.000 0.500
O1 0.167 0.173 0.450
O2 0.266 0.730 0.424
O3 0.400 0.057 0.278



Entry 7:
Here is an optimized crystal structure of Na2CaOs3O12 from Alexandria via LeMat-Bulk. Energies are from PBE.

Calculated values
volume	238	Å³/f.u.
total moment	0.000	μB per formula unit
energy	-0.2480	hartree per atom

Cell lengths 7.3242, 7.3242, 15.3409 Å; angles 90.00, 90.00, 120.00 degrees
Space group R-3m (No. 166, hexagonal axes)
Unique sites:
Na1 0.0000 0.0000 0.1103
Ca1 0.0000 0.0000 0.5000
Os1 0.0000 0.5000 0.0000
O1 0.0765 0.5382 0.3024
O2 0.0798 0.5399 0.8883



Entry 8:
Here is an optimized crystal structure of Na2CaOs2O7 from Alexandria via LeMat-Bulk. Energies are from PBE.

Calculated values
volume	153	Å³/f.u.
total moment	2.544	μB per formula unit
energy	-0.2412	hartree per atom

Cell lengths 3.918, 3.932, 19.885 Å; angles 90.00, 90.00, 90.00 degrees
Space group Imm2 (No. 44)
Unique sites:
Na1 0.000 0.000 0.000
Na2 0.000 0.000 0.499
Ca1 0.000 0.500 0.747
Os1 0.000 0.500 0.150
Os2 0.000 0.500 0.351
O1 0.000 0.000 0.160
O2 0.000 0.000 0.345
O3 0.000 0.000 0.659
O4 0.000 0.000 0.845
O5 0.000 0.500 0.054
O6 0.000 0.500 0.250
O7 0.000 0.500 0.447



Entry 9:
Here is an optimized crystal structure of Na3Ca3OsO8 from Alexandria via LeMat-Bulk. Energies are from PBE.

Calculated values
volume	218	Å³/f.u.
total moment	1.034	μB per formula unit
energy	-0.2225	hartree per atom

Cell lengths 6.7469, 6.7469, 16.5938 Å; angles 90.00, 90.00, 120.00 degrees
Space group R-3m (No. 166, hexagonal axes)
Unique sites:
Na1 0.0000 0.5000 0.0000
Ca1 0.0000 0.5000 0.5000
Os1 0.0000 0.0000 0.5000
O1 0.0000 0.0000 0.2390
O2 0.0611 0.5306 0.2323



Entry 10:
Here is an optimized crystal structure of Na2Ca2OsO6 from Alexandria via LeMat-Bulk. Energies are from PBE.

Calculated values
volume	160	Å³/f.u.
total moment	2.000	μB per formula unit
energy	-0.2295	hartree per atom

Cell lengths 5.836, 9.760, 5.883 Å; angles 90.00, 107.18, 90.00 degrees
Space group C2/m (No. 12)
Unique sites:
Na1 0.000 0.154 0.000
Ca1 0.000 0.338 0.500
Os1 0.000 0.000 0.500
O1 0.195 0.145 0.695
O2 0.220 0.000 0.299



Entry 11:
Here is an optimized crystal structure of Na2CaP2O6 from Alexandria via LeMat-Bulk. Energies are from PBE.

Calculated values
volume	169	Å³/f.u.
total moment	2.000	μB per formula unit
energy	-0.2285	hartree per atom

Cell lengths 5.6167, 5.6167, 6.1681 Å; angles 90.00, 90.00, 120.00 degrees
Space group P-3 (No. 147)
Unique sites:
Na1 0.3333 0.6667 0.3524
Ca1 0.0000 0.0000 0.0000
P1 0.3333 0.6667 0.8415
O1 0.0961 0.7149 0.7678



Entry 12:
Here is an optimized crystal structure of NaCaP2O from Alexandria via LeMat-Bulk. Energies are from PBE.

Calculated values
volume	131	Å³/f.u.
energy above the most stable polymorph in this dataset	0.0	meV/atom
total moment	2.390	μB per formula unit

Cell lengths 5.471, 5.471, 4.367 Å; angles 90.00, 90.00, 90.00 degrees
Space group P4/mmm (No. 123)
Unique sites:
Na1 0.000 0.000 0.000
Ca1 0.500 0.500 0.500
P1 0.000 0.500 0.500
O1 0.500 0.500 0.000



Entry 13:
Here is an optimized crystal structure of NaCaP2O from Alexandria via LeMat-Bulk. Energies are from PBE.

Calculated values
volume	103	Å³/f.u.
energy above the most stable polymorph in this dataset	104.9	meV/atom
total moment	2.042	μB per formula unit

Cell lengths 4.933, 4.933, 4.240 Å; angles 90.00, 90.00, 90.00 degrees
Space group P4/mmm (No. 123)
Unique sites:
Na1 0.000 0.000 0.000
Ca1 0.500 0.500 0.500
P1 0.000 0.500 0.000
O1 0.000 0.000 0.500



Entry 14:
Here is an optimized crystal structure of Na2CaP2O7 from Alexandria via LeMat-Bulk. Energies are from PBE.

Calculated values
volume	183	Å³/f.u.
energy above the most stable polymorph in this dataset	57.5	meV/atom
total moment	0.000	μB per formula unit

Cell lengths 5.5150, 5.5150, 20.8722 Å; angles 90.00, 90.00, 120.00 degrees
Space group R32 (No. 155, hexagonal axes)
Unique sites:
Na1 0.0000 0.0000 0.2405
Ca1 0.0000 0.0000 0.0000
P1 0.0000 0.0000 0.4228
O1 0.0000 0.0000 0.5000
O2 0.0432 0.4285 0.2633



Entry 15:
Here is an optimized crystal structure of Na2CaPO4 from Alexandria via LeMat-Bulk. Energies are from PBE.

Calculated values
volume	130	Å³/f.u.
total moment	0.000	μB per formula unit
energy	-0.2146	hartree per atom

Cell lengths 5.377, 5.377, 8.958 Å; angles 90.00, 90.00, 90.00 degrees
Space group I-4 (No. 82)
Unique sites:
Na1 0.000 0.000 0.000
Na2 0.000 0.500 0.250
Ca1 0.000 0.000 0.500
P1 0.000 0.500 0.750
O1 0.149 0.312 0.650



Entry 16:
Here is an optimized crystal structure of NaCaP3O9 from Alexandria via LeMat-Bulk. Energies are from PBE.

Calculated values
volume	182	Å³/f.u.
total moment	0.000	μB per formula unit
energy	-0.2571	hartree per atom

Cell lengths 6.820, 7.053, 7.764 Å; angles 83.72, 81.37, 82.43 degrees
Space group P-1 (No. 2)
Unique sites:
Na1 0.033 0.134 0.165
Ca1 0.487 0.774 0.859
P1 0.117 0.619 0.219
P2 0.313 0.838 0.444
P3 0.331 0.299 0.779
O1 0.120 0.358 0.713
O2 0.161 0.769 0.068
O3 0.183 0.411 0.199
O4 0.191 0.675 0.393
O5 0.267 0.843 0.639
O6 0.286 0.018 0.325
O7 0.331 0.119 0.907
O8 0.410 0.461 0.846
O9 0.456 0.256 0.591



Entry 17:
Here is an optimized crystal structure of NaCaP2O6 from Alexandria via LeMat-Bulk. Energies are from PBE.

Calculated values
volume	135	Å³/f.u.
total moment	0.296	μB per formula unit
energy	-0.2429	hartree per atom

Cell lengths 10.268, 9.337, 6.004 Å; angles 90.00, 110.81, 90.00 degrees
Space group C2/c (No. 15)
Unique sites:
Na1 0.000 0.198 0.250
Ca1 0.000 0.386 0.750
P1 0.210 0.076 0.731
O1 0.128 0.416 0.164
O2 0.140 0.222 0.662
O3 0.161 0.025 0.995



Entry 18:
Here is an optimized crystal structure of Na2CaP2O7 from Alexandria via LeMat-Bulk. Energies are from PBE.

Calculated values
volume	165	Å³/f.u.
energy above the most stable polymorph in this dataset	0.0	meV/atom
total moment	0.000	μB per formula unit

Cell lengths 5.462, 7.212, 8.970 Å; angles 68.97, 89.08, 89.08 degrees
Space group P-1 (No. 2)
Unique sites:
Na1 0.229 0.204 0.012
Na2 0.262 0.139 0.443
Ca1 0.263 0.751 0.282
P1 0.214 0.573 0.690
P2 0.256 0.884 0.827
O1 0.055 0.005 0.714
O2 0.060 0.452 0.334
O3 0.216 0.870 0.000
O4 0.227 0.653 0.840
O5 0.334 0.730 0.544
O6 0.353 0.375 0.753
O7 0.483 0.055 0.234



Entry 19:
Here is an optimized crystal structure of Na3Ca2PaO6 from Alexandria via LeMat-Bulk. Energies are from PBE.

Calculated values
volume	173	Å³/f.u.
total moment	0.000	μB per formula unit
energy	-0.2437	hartree per atom

Cell lengths 5.997, 10.379, 5.920 Å; angles 90.00, 109.92, 90.00 degrees
Space group C2/m (No. 12)
Unique sites:
Na1 0.000 0.000 0.000
Na2 0.000 0.329 0.000
Ca1 0.000 0.167 0.500
Pa1 0.000 0.500 0.500
O1 0.227 0.345 0.716
O2 0.239 0.500 0.289



Entry 20:
Here is an optimized crystal structure of NaCaPaO4 from Alexandria via LeMat-Bulk. Energies are from PBE.

Calculated values
volume	119	Å³/f.u.
total moment	0.000	μB per formula unit
energy	-0.2837	hartree per atom

Cell lengths 6.846, 7.151, 9.735 Å; angles 90.00, 90.00, 90.00 degrees
Space group Imma (No. 74)
Unique sites:
Na1 0.000 0.250 0.142
Ca1 0.250 0.250 0.750
Pa1 0.000 0.000 0.500
O1 0.000 0.026 0.714
O2 0.203 0.250 0.505